{"formula": "NbNiNO2", "functional": "PBE+U", "state": "relaxed", "lattice_angstrom": [[3.920, 0.000, 0.000], [0.000, 3.920, 0.000], [0.000, 0.000, 4.207]], "species": ["Nb", "Ni", "N", "O", "O"], "frac_coords": [[0.000, 0.000, 0.000], [0.500, 0.500, 0.500], [0.000, 0.000, 0.500], [0.000, 0.500, 0.000], [0.500, 0.000, 0.000]], "dos_at_fermi_per_ev_cell": 0.56, "rho_kg_m3": 5076, "m_tot_mub_per_cell": 2.01, "total_energy_ev_per_atom": -6.90}